[1]
A plane-wave DFT calculation with PBE was carried out for a relaxed BIr2Os crystal.

The structure in CIF format:
```
data_BIr2Os
_chemical_formula_sum 'B1 Ir2 Os1'
_cell_length_a 2.7278
_cell_length_b 2.7278
_cell_length_c 6.6410
_cell_angle_alpha 90.00
_cell_angle_beta 90.00
_cell_angle_gamma 90.00
_symmetry_space_group_name_H-M 'P 4/m m m'
_symmetry_Int_Tables_number 123
_symmetry_space_group_name_Hall '-P 4 2'
loop_
_atom_site_label
_atom_site_type_symbol
_atom_site_fract_x
_atom_site_fract_y
_atom_site_fract_z
B1 B 0.0000 0.0000 0.0000
Ir1 Ir 0.5000 0.5000 0.2014
Os1 Os 0.0000 0.0000 0.5000
```

Calculated values
* DOS(E_F): 2.47 states/eV/f.u.
* theoretical density: 19.7 g/cm3
* total magnetic moment: 0.0 μB/f.u.
* total DFT energy (no corrections): -8.84 eV/atom

[2]
A plane-wave DFT calculation with PBE was carried out for a relaxed PaB4Ir2Os crystal.

The structure in CIF format:
```
data_PaB4Ir2Os
_chemical_formula_sum 'Pa3 B12 Ir6 Os3'
_cell_length_a 3.6944
_cell_length_b 3.6944
_cell_length_c 24.5493
_cell_angle_alpha 90.00
_cell_angle_beta 90.00
_cell_angle_gamma 120.00
_symmetry_space_group_name_H-M 'R -3 m'
_symmetry_Int_Tables_number 166
_symmetry_space_group_name_Hall '-R 3 2"'
loop_
_atom_site_label
_atom_site_type_symbol
_atom_site_fract_x
_atom_site_fract_y
_atom_site_fract_z
Pa1 Pa 0.0000 0.0000 0.0000
B1 B 0.0000 0.0000 0.1270
B2 B 0.0000 0.0000 0.4025
Ir1 Ir 0.0000 0.0000 0.2402
Os1 Os 0.0000 0.0000 0.5000
```

Calculated values
* DOS(E_F): 4.63 states/eV/f.u.
* theoretical density: 14.6 g/cm3
* total magnetic moment: 0.0 μB/f.u.
* total DFT energy (no corrections): -8.26 eV/atom

[3]
A plane-wave DFT calculation with PBE was carried out for a relaxed PrB4Ir2Os2 crystal.

The structure in CIF format:
```
data_PrB4Ir2Os2
_chemical_formula_sum 'Pr2 B8 Ir4 Os4'
_cell_length_a 7.6678
_cell_length_b 7.6678
_cell_length_c 4.0063
_cell_angle_alpha 90.00
_cell_angle_beta 90.00
_cell_angle_gamma 90.00
_symmetry_space_group_name_H-M 'P 42'
_symmetry_Int_Tables_number 77
loop_
_symmetry_equiv_pos_as_xyz
'x,y,z'
'-y,x,z+1/2'
'-x,-y,z'
'y,-x,z+1/2'
loop_
_atom_site_label
_atom_site_type_symbol
_atom_site_fract_x
_atom_site_fract_y
_atom_site_fract_z
Pr1 Pr 0.0000 0.5000 0.0000
B1 B 0.1619 0.2148 0.6198
B2 B 0.2771 0.6616 0.3999
Ir1 Ir 0.3444 0.3906 0.3956
Os1 Os 0.1081 0.8543 0.6170
```

Calculated values
* DOS(E_F): 2.96 states/eV/f.u.
* theoretical density: 13.4 g/cm3
* total magnetic moment: 0.0 μB/f.u.
* total DFT energy (no corrections): -8.44 eV/atom

[4]
A plane-wave DFT calculation with PBE was carried out for a relaxed B2IrOsS crystal.

The structure in CIF format:
```
data_B2IrOsS
_chemical_formula_sum 'B2 Ir1 Os1 S1'
_cell_length_a 3.9435
_cell_length_b 3.9435
_cell_length_c 4.8661
_cell_angle_alpha 90.00
_cell_angle_beta 90.00
_cell_angle_gamma 90.00
_symmetry_space_group_name_H-M 'P 4/m m m'
_symmetry_Int_Tables_number 123
_symmetry_space_group_name_Hall '-P 4 2'
loop_
_atom_site_label
_atom_site_type_symbol
_atom_site_fract_x
_atom_site_fract_y
_atom_site_fract_z
B1 B 0.0000 0.5000 0.0000
Ir1 Ir 0.0000 0.0000 0.5000
Os1 Os 0.5000 0.5000 0.0000
S1 S 0.5000 0.5000 0.5000
```

Calculated values
* DOS(E_F): 5.58 states/eV/f.u.
* theoretical density: 9.6 g/cm3
* formation energy without anion corrections: 1.468 eV per atom
* total magnetic moment: 0.5 μB/f.u.

[5]
A plane-wave DFT calculation with PBE was carried out for a relaxed ScBIr2Os crystal.

The structure in CIF format:
```
data_ScBIr2Os
_chemical_formula_sum 'Sc1 B1 Ir2 Os1'
_cell_length_a 4.1250
_cell_length_b 4.1250
_cell_length_c 4.1744
_cell_angle_alpha 90.00
_cell_angle_beta 90.00
_cell_angle_gamma 90.00
_symmetry_space_group_name_H-M 'P 4/m m m'
_symmetry_Int_Tables_number 123
_symmetry_space_group_name_Hall '-P 4 2'
loop_
_atom_site_label
_atom_site_type_symbol
_atom_site_fract_x
_atom_site_fract_y
_atom_site_fract_z
Sc1 Sc 0.0000 0.0000 0.0000
B1 B 0.5000 0.5000 0.5000
Ir1 Ir 0.0000 0.5000 0.5000
Os1 Os 0.5000 0.5000 0.0000
```

Calculated values
* DOS(E_F): 1.34 states/eV/f.u.
* theoretical density: 14.7 g/cm3
* total magnetic moment: 0.0 μB/f.u.
* total DFT energy (no corrections): -8.89 eV/atom

[6]
A plane-wave DFT calculation with PBE was carried out for a relaxed SmB4Ir2Os crystal.

The structure in CIF format:
```
data_SmB4Ir2Os
_chemical_formula_sum 'Sm3 B12 Ir6 Os3'
_cell_length_a 3.7018
_cell_length_b 3.7018
_cell_length_c 24.9701
_cell_angle_alpha 90.00
_cell_angle_beta 90.00
_cell_angle_gamma 120.00
_symmetry_space_group_name_H-M 'R -3 m'
_symmetry_Int_Tables_number 166
_symmetry_space_group_name_Hall '-R 3 2"'
loop_
_atom_site_label
_atom_site_type_symbol
_atom_site_fract_x
_atom_site_fract_y
_atom_site_fract_z
Sm1 Sm 0.0000 0.0000 0.0000
B1 B 0.0000 0.0000 0.1278
B2 B 0.0000 0.0000 0.4074
Ir1 Ir 0.0000 0.0000 0.2389
Os1 Os 0.0000 0.0000 0.5000
```

Calculated values
* DOS(E_F): 2.55 states/eV/f.u.
* theoretical density: 12.9 g/cm3
* total magnetic moment: 0.0 μB/f.u.
* total DFT energy (no corrections): -7.65 eV/atom

[7]
A plane-wave DFT calculation with PBE was carried out for a relaxed ThB4Ir2Os crystal.

The structure in CIF format:
```
data_ThB4Ir2Os
_chemical_formula_sum 'Th3 B12 Ir6 Os3'
_cell_length_a 3.7192
_cell_length_b 3.7192
_cell_length_c 25.1817
_cell_angle_alpha 90.00
_cell_angle_beta 90.00
_cell_angle_gamma 120.00
_symmetry_space_group_name_H-M 'R -3 m'
_symmetry_Int_Tables_number 166
_symmetry_space_group_name_Hall '-R 3 2"'
loop_
_atom_site_label
_atom_site_type_symbol
_atom_site_fract_x
_atom_site_fract_y
_atom_site_fract_z
Th1 Th 0.0000 0.0000 0.0000
B1 B 0.0000 0.0000 0.1281
B2 B 0.0000 0.0000 0.4074
Ir1 Ir 0.0000 0.0000 0.2374
Os1 Os 0.0000 0.0000 0.5000
```

Calculated values
* DOS(E_F): 3.93 states/eV/f.u.
* theoretical density: 14.0 g/cm3
* total magnetic moment: 0.0 μB/f.u.
* total DFT energy (no corrections): -8.00 eV/atom

[8]
A plane-wave DFT calculation with PBE was carried out for a relaxed TlBIrOs2 crystal.

The structure in CIF format:
```
data_TlBIrOs2
_chemical_formula_sum 'Tl1 B1 Ir1 Os2'
_cell_length_a 5.0400
_cell_length_b 5.0400
_cell_length_c 3.8989
_cell_angle_alpha 90.00
_cell_angle_beta 90.00
_cell_angle_gamma 90.00
_symmetry_space_group_name_H-M 'P 4/m m m'
_symmetry_Int_Tables_number 123
_symmetry_space_group_name_Hall '-P 4 2'
loop_
_atom_site_label
_atom_site_type_symbol
_atom_site_fract_x
_atom_site_fract_y
_atom_site_fract_z
Tl1 Tl 0.0000 0.0000 0.0000
B1 B 0.0000 0.0000 0.5000
Ir1 Ir 0.5000 0.5000 0.5000
Os1 Os 0.0000 0.5000 0.0000
```

Calculated values
* DOS(E_F): 7.08 states/eV/f.u.
* theoretical density: 13.2 g/cm3
* total magnetic moment: 4.2 μB/f.u.
* total DFT energy (no corrections): -4.84 eV/atom

[9]
A plane-wave DFT calculation with PBE was carried out for a relaxed TmB4Ir2Os crystal.

The structure in CIF format:
```
data_TmB4Ir2Os
_chemical_formula_sum 'Tm3 B12 Ir6 Os3'
_cell_length_a 3.6879
_cell_length_b 3.6879
_cell_length_c 24.1513
_cell_angle_alpha 90.00
_cell_angle_beta 90.00
_cell_angle_gamma 120.00
_symmetry_space_group_name_H-M 'R -3 m'
_symmetry_Int_Tables_number 166
_symmetry_space_group_name_Hall '-R 3 2"'
loop_
_atom_site_label
_atom_site_type_symbol
_atom_site_fract_x
_atom_site_fract_y
_atom_site_fract_z
Tm1 Tm 0.0000 0.0000 0.0000
B1 B 0.0000 0.0000 0.1261
B2 B 0.0000 0.0000 0.4042
Ir1 Ir 0.0000 0.0000 0.2420
Os1 Os 0.0000 0.0000 0.5000
```

Calculated values
* DOS(E_F): 2.29 states/eV/f.u.
* theoretical density: 13.8 g/cm3
* total magnetic moment: 0.0 μB/f.u.
* total DFT energy (no corrections): -7.67 eV/atom

[10]
A plane-wave DFT calculation with PBE was carried out for a relaxed YB2IrOs crystal.

The structure in CIF format:
```
data_YB2IrOs
_chemical_formula_sum 'Y1 B2 Ir1 Os1'
_cell_length_a 4.0677
_cell_length_b 4.0677
_cell_length_c 5.5214
_cell_angle_alpha 90.00
_cell_angle_beta 90.00
_cell_angle_gamma 90.00
_symmetry_space_group_name_H-M 'P 4/m m m'
_symmetry_Int_Tables_number 123
_symmetry_space_group_name_Hall '-P 4 2'
loop_
_atom_site_label
_atom_site_type_symbol
_atom_site_fract_x
_atom_site_fract_y
_atom_site_fract_z
Y1 Y 0.0000 0.0000 0.0000
B1 B 0.0000 0.5000 0.5000
Ir1 Ir 0.5000 0.5000 0.0000
Os1 Os 0.0000 0.0000 0.5000
```

Calculated values
* DOS(E_F): 2.82 states/eV/f.u.
* theoretical density: 9.0 g/cm3
* total magnetic moment: 1.0 μB/f.u.
* total DFT energy (no corrections): -7.06 eV/atom

> Look up the DOS(E_F) of the ninth one.

2.29 states/eV/f.u.